The following is a PBE calculation of a relaxed structure of PCl5, from Alexandria.

Output
Raw total energy in eV/atom: -3.021
Raw formation energy in eV per atom: -0.58

Geometry as CIF:
```
data_PCl5
_symmetry_space_group_name_H-M 'C 1 2/m 1'
_symmetry_Int_Tables_number 12
_cell_length_a 14.081
_cell_length_b 8.083
_cell_length_c 10.987
_cell_angle_alpha 90.00
_cell_angle_beta 114.94
_cell_angle_gamma 90.00
loop_
_symmetry_equiv_pos_as_xyz
'x,y,z'
'-x,-y,-z'
'-x,y,-z'
'x,-y,z'
'x+1/2,y+1/2,z'
'-x+1/2,-y+1/2,-z'
'-x+1/2,y+1/2,-z'
'x+1/2,-y+1/2,z'
loop_
_atom_site_label
_atom_site_type_symbol
_atom_site_fract_x
_atom_site_fract_y
_atom_site_fract_z
P1 P 0.000 0.000 0.000
P2 P 0.230 0.000 0.694
Cl1 Cl 0.000 0.500 0.500
Cl2 Cl 0.023 0.190 0.875
Cl3 Cl 0.142 0.199 0.625
Cl4 Cl 0.159 0.500 0.373
Cl5 Cl 0.167 0.000 0.129
Cl6 Cl 0.206 0.500 0.110
```

=====

The following is a PBE calculation of a relaxed structure of Hf6InGa, from Alexandria.

Output
Raw total energy in eV/atom: -8.374
Formation energy from the elements in eV per atom: -0.189
Distance to the lowest polymorph of the same formula in eV per atom: 0.0000

Geometry as CIF:
```
data_Hf6InGa
_symmetry_space_group_name_H-M 'P 4/m m m'
_symmetry_Int_Tables_number 123
_symmetry_space_group_name_Hall '-P 4 2'
_cell_length_a 4.377
_cell_length_b 4.377
_cell_length_c 8.732
_cell_angle_alpha 90.00
_cell_angle_beta 90.00
_cell_angle_gamma 90.00
loop_
_atom_site_label
_atom_site_type_symbol
_atom_site_fract_x
_atom_site_fract_y
_atom_site_fract_z
Hf1 Hf 0.000 0.000 0.000
Hf2 Hf 0.000 0.000 0.500
Hf3 Hf 0.000 0.500 0.242
In1 In 0.500 0.500 0.500
Ga1 Ga 0.500 0.500 0.000
```

=====

The following is a PBE calculation of a relaxed structure of TbHo6Er2, from Alexandria.

Output
Raw total energy in eV/atom: -4.182
Formation energy from the elements in eV per atom: 0.398
Distance to the lowest polymorph of the same formula in eV per atom: 0.3218

Geometry as CIF:
```
data_TbHo6Er2
_symmetry_space_group_name_H-M 'R 3 m'
_symmetry_Int_Tables_number 160
_symmetry_space_group_name_Hall 'R 3 -2"'
_cell_length_a 6.9031
_cell_length_b 6.9031
_cell_length_c 22.3472
_cell_angle_alpha 90.00
_cell_angle_beta 90.00
_cell_angle_gamma 120.00
loop_
_atom_site_label
_atom_site_type_symbol
_atom_site_fract_x
_atom_site_fract_y
_atom_site_fract_z
Tb1 Tb 0.0000 0.0000 0.0000
Ho1 Ho 0.0050 0.5025 0.5576
Ho2 Ho 0.1704 0.3408 0.1100
Er1 Er 0.0000 0.0000 0.5872
Er2 Er 0.0000 0.0000 0.7523
```

=====

The following is a PBE calculation of a relaxed structure of Pa6CoCl15, from Alexandria.

Output
Raw total energy in eV/atom: -5.765
Raw formation energy in eV per atom: -1.59

Geometry as CIF:
```
data_Pa6CoCl15
_symmetry_space_group_name_H-M 'I m -3 m'
_symmetry_Int_Tables_number 229
_symmetry_space_group_name_Hall '-I 4 2 3'
_cell_length_a 11.064
_cell_length_b 11.064
_cell_length_c 11.064
_cell_angle_alpha 90.00
_cell_angle_beta 90.00
_cell_angle_gamma 90.00
loop_
_atom_site_label
_atom_site_type_symbol
_atom_site_fract_x
_atom_site_fract_y
_atom_site_fract_z
Pa1 Pa 0.000 0.000 0.241
Co1 Co 0.000 0.000 0.000
Cl1 Cl 0.000 0.000 0.500
Cl2 Cl 0.000 0.247 0.247
```